(1)
A plane-wave DFT calculation with PBE was carried out for crystalline Li2BeCr at its relaxed geometry.

```
Li2BeCr
1.0
-1.181 2.315 4.609
1.181 -2.315 4.609
1.181 2.315 -4.609
Li Be Cr
2 1 1
Direct
0.000 0.000 0.000
0.734 0.234 0.500
0.232 0.732 0.500
0.449 0.449 0.000
```

Output
Spin magnetization ... 1.502 μB per cell
DOS(E_F) ... 2.2 states/eV/cell
Crystal system ... orthorhombic

=====

(2)
A plane-wave DFT calculation with PBE was carried out for crystalline ZrSc2Be at its relaxed geometry.

```
ZrSc2Be
1.0
-2.114 2.114 4.397
2.114 -2.114 4.397
2.114 2.114 -4.397
Zr Sc Be
1 2 1
Direct
0.000 0.000 0.000
0.500 0.500 0.000
0.750 0.250 0.500
0.250 0.750 0.500
```

Output
Spin magnetization ... 0.000 μB per cell
DOS(E_F) ... 5.3 states/eV/cell
Crystal system ... tetragonal

=====

(3)
A plane-wave DFT calculation with PBE was carried out for crystalline MnAl4Zn at its relaxed geometry.

```
MnAl4Zn
1.0
3.775 -5.396 0.000
3.775 5.396 0.000
-1.557 0.000 4.598
Mn Al Zn
2 8 2
Direct
0.002 0.998 0.750
0.998 0.002 0.250
0.066 0.699 0.936
0.191 0.371 0.642
0.301 0.934 0.564
0.371 0.191 0.142
0.629 0.809 0.858
0.699 0.066 0.436
0.809 0.629 0.358
0.934 0.301 0.064
0.388 0.612 0.250
0.612 0.388 0.750
```

Output
Spin magnetization ... 0.000 μB per cell
DOS(E_F) ... 5.5 states/eV/cell
Crystal system ... monoclinic

=====

(4)
A plane-wave DFT calculation with PBE was carried out for crystalline AcTbPrZn at its relaxed geometry.

```
AcTbPrZn
1.0
0.000 3.967 3.967
3.967 0.000 3.967
3.967 3.967 0.000
Ac Tb Pr Zn
1 1 1 1
Direct
0.000 0.000 0.000
0.250 0.250 0.250
0.750 0.750 0.750
0.500 0.500 0.500
```

Output
Spin magnetization ... 0.000 μB per cell
DOS(E_F) ... 6.4 states/eV/cell
Crystal system ... cubic

=====

(5)
A plane-wave DFT calculation with PBE was carried out for crystalline K4AsRu at its relaxed geometry.

```
K4AsRu
1.0
0.000 4.624 4.624
4.624 0.000 4.624
4.624 4.624 0.000
K As Ru
4 1 1
Direct
0.376 0.376 0.376
0.376 0.376 0.871
0.376 0.871 0.376
0.871 0.376 0.376
0.750 0.750 0.750
0.000 0.000 0.000
```

Output
Spin magnetization ... 2.392 μB per cell
DOS(E_F) ... 4.7 states/eV/cell
Crystal system ... cubic

=====

(6)
A plane-wave DFT calculation with PBE was carried out for crystalline La2MnZn at its relaxed geometry.

```
La2MnZn
1.0
2.234 1.290 6.441
-2.234 1.290 6.441
0.000 -2.579 6.441
La Mn Zn
2 1 1
Direct
0.000 0.000 0.000
0.190 0.190 0.190
0.764 0.764 0.764
0.427 0.427 0.427
```

Output
Spin magnetization ... 2.446 μB per cell
DOS(E_F) ... 4.6 states/eV/cell
Crystal system ... trigonal

=====

(7)
A plane-wave DFT calculation with PBE was carried out for crystalline CaScCo2 at its relaxed geometry.

```
CaScCo2
1.0
-2.278 2.278 3.229
2.278 -2.278 3.229
2.278 2.278 -3.229
Ca Sc Co
1 1 2
Direct
0.000 0.000 0.000
0.500 0.500 0.000
0.250 0.750 0.500
0.750 0.250 0.500
```

Output
Spin magnetization ... 0.002 μB per cell
DOS(E_F) ... 3.5 states/eV/cell
Crystal system ... tetragonal

=====

(8)
A plane-wave DFT calculation with PBE was carried out for crystalline Tb5Ho4Tl2 at its relaxed geometry.

```
Tb5Ho4Tl2
1.0
2.611 1.508 15.596
-2.611 1.508 15.596
0.000 -3.015 15.596
Tb Ho Tl
5 4 2
Direct
0.000 0.000 0.000
0.148 0.148 0.148
0.301 0.301 0.301
0.699 0.699 0.699
0.852 0.852 0.852
0.074 0.074 0.074
0.225 0.225 0.225
0.775 0.775 0.775
0.926 0.926 0.926
0.383 0.383 0.383
0.617 0.617 0.617
```

Output
Spin magnetization ... 0.001 μB per cell
DOS(E_F) ... 13.3 states/eV/cell
Crystal system ... trigonal

=====

(9)
A plane-wave DFT calculation with PBE was carried out for crystalline PaAs2Au at its relaxed geometry.

```
PaAs2Au
1.0
4.577 0.000 0.000
0.000 4.577 0.000
0.000 0.000 3.811
Pa As Au
1 2 1
Direct
0.000 0.000 0.000
0.000 0.500 0.500
0.500 0.000 0.500
0.500 0.500 0.000
```

Output
Spin magnetization ... 0.000 μB per cell
DOS(E_F) ... 2.1 states/eV/cell
Crystal system ... tetragonal

=====

(10)
A plane-wave DFT calculation with PBE was carried out for crystalline TiAuS2N at its relaxed geometry.

```
TiAuS2N
1.0
4.946 0.000 0.000
0.000 4.946 0.000
0.000 0.000 3.785
Ti Au S N
1 1 2 1
Direct
0.000 0.000 0.000
0.500 0.500 0.500
0.000 0.500 0.500
0.500 0.000 0.500
0.500 0.500 0.000
```

Output
Spin magnetization ... 0.328 μB per cell
Uncorrected formation energy ... 998 meV/atom
DOS(E_F) ... 8.9 states/eV/cell
Crystal system ... tetragonal

=====

(11)
A plane-wave DFT calculation with PBE was carried out for crystalline GeBiRhW2 at its relaxed geometry.

```
GeBiRhW2
1.0
5.112 0.000 0.000
0.000 5.112 0.000
0.000 0.000 4.898
Ge Bi Rh W
1 1 1 2
Direct
0.000 0.000 0.000
0.500 0.500 0.500
0.500 0.500 0.000
0.000 0.500 0.500
0.500 0.000 0.500
```

Output
Spin magnetization ... 2.223 μB per cell
DOS(E_F) ... 7.5 states/eV/cell
Crystal system ... tetragonal

=====

(12)
A plane-wave DFT calculation with PBE was carried out for crystalline LiY2SnAs at its relaxed geometry.

```
LiY2SnAs
1.0
5.260 0.000 0.000
0.000 5.260 0.000
0.000 0.000 4.487
Li Y Sn As
1 2 1 1
Direct
0.000 0.000 0.000
0.000 0.500 0.000
0.500 0.000 0.000
0.000 0.000 0.500
0.500 0.500 0.500
```

Output
Spin magnetization ... 0.000 μB per cell
DOS(E_F) ... 3.2 states/eV/cell
Crystal system ... tetragonal

=====

Listing uncorrected energy for the structures above in their given order: -15.2 -24.3 -51.4 -14.2 -12.4 -20.1 -21.9 -43.4 -24.8 -22.8 -29.0 -23.9 eV/cell.